Compound: AcCdPSe
Source: Alexandria
Functional: PBE-GGA
Structure: optimized geometry

abc: 4.767 4.767 9.645
angles: 90.00 90.00 90.00
Fractional positions:
Se 0.000 0.000 0.500
Se 0.500 0.500 0.500
Cd 0.000 0.000 0.000
Cd 0.500 0.500 0.000
Ac 0.000 0.500 0.313
Ac 0.500 0.000 0.687
P 0.000 0.500 0.851
P 0.500 0.000 0.149

Computed properties:
uncorrected formation energy: -871 meV/atom
space group: P4/nmm
total energy: -4.35 eV/atom

***

Compound: AcPaCd4
Source: Alexandria
Functional: PBE-GGA
Structure: optimized geometry

abc: 6.061 6.061 6.061
angles: 60.00 60.00 60.00
Fractional positions:
Cd 0.624 0.127 0.624
Cd 0.624 0.624 0.127
Cd 0.624 0.624 0.624
Cd 0.127 0.624 0.624
Ac 0.000 0.000 0.000
Pa 0.250 0.250 0.250

Computed properties:
formation energy from the elements: 0.0139 eV per atom
space group: F-43m
total energy: -2.86 eV/atom

***

Compound: Ac2PaCd
Source: Alexandria
Functional: PBE-GGA
Structure: optimized geometry

abc: 3.702 3.702 9.766
angles: 90.00 90.00 90.00
Fractional positions:
Cd 0.500 0.500 0.000
Pa 0.500 0.500 0.500
Ac 0.000 0.000 0.755
Ac 0.000 0.000 0.245

Computed properties:
formation energy from the elements: 0.1299 eV per atom
space group: P4/mmm
total energy: -4.53 eV/atom
ΔE to the lowest computed polymorph: 0 meV/atom